First-principles (PBE) data for crystalline Be3ZnSi at its relaxed geometry, as listed in Alexandria via LeMat-Bulk.

Cell and atoms, written as POSCAR:
```
Be3ZnSi
1.0
-1.791 0.727 -3.754
1.589 -3.629 -1.460
-3.478 -2.032 1.266
Be Zn Si
3 1 1
Direct
0.000 0.500 0.000
0.000 0.000 0.500
0.500 0.000 0.000
0.500 0.500 0.500
0.000 0.000 0.000
```

## Properties
- Space-group type: No. 221
- Energy above the most stable polymorph in this dataset: 0 meV/atom
- E_form (uncorrected): 0.8785 eV/atom

=====

First-principles (PBE) data for crystalline Tm2CdReO8 at its relaxed geometry, as listed in Alexandria via LeMat-Bulk.

Cell and atoms, written as POSCAR:
```
Tm2CdReO8
1.0
-1.749 1.165 4.436
-2.953 -3.906 -0.339
4.865 -3.935 2.952
Tm Cd Re O
2 1 1 8
Direct
0.500 0.500 0.749
0.500 0.500 0.251
0.000 0.000 0.500
0.000 0.000 0.000
0.186 0.813 0.196
0.718 0.719 0.000
0.814 0.187 0.196
0.814 0.187 0.804
0.282 0.281 0.000
0.186 0.813 0.804
0.693 0.693 0.500
0.307 0.307 0.500
```

## Properties
- Space-group type: No. 65
- E_form (uncorrected): -2.1838 eV/atom